(1)
# ErTh2 | Alexandria via LeMat-Bulk | PBE | relaxed
data_ErTh2
_cell_length_a 3.596
_cell_length_b 4.965
_cell_length_c 10.679
_cell_angle_alpha 90.00
_cell_angle_beta 90.00
_cell_angle_gamma 90.00
_symmetry_space_group_name_H-M 'I m m m'
_symmetry_Int_Tables_number 71
_symmetry_space_group_name_Hall '-I 2 2'
loop_
_atom_site_label
_atom_site_type_symbol
_atom_site_fract_x
_atom_site_fract_y
_atom_site_fract_z
Er1 Er 0.000 0.000 0.000
Th1 Th 0.000 0.000 0.332
# - energy above the lowest structure with this stoichiometry (eV/f.u.) = 0.020
# - energy of formation (meV/atom) = 47
# - DFT total energy (eV/cell) = -38.5

(2)
# TbPmTm2 | Alexandria via LeMat-Bulk | PBE | relaxed
data_TbPmTm2
_cell_length_a 3.551
_cell_length_b 3.551
_cell_length_c 10.006
_cell_angle_alpha 90.00
_cell_angle_beta 90.00
_cell_angle_gamma 90.00
_symmetry_space_group_name_H-M 'P 4/m m m'
_symmetry_Int_Tables_number 123
_symmetry_space_group_name_Hall '-P 4 2'
loop_
_atom_site_label
_atom_site_type_symbol
_atom_site_fract_x
_atom_site_fract_y
_atom_site_fract_z
Tb1 Tb 0.000 0.000 0.000
Pm1 Pm 0.000 0.000 0.500
Tm1 Tm 0.500 0.500 0.247
# - energy above the lowest structure with this stoichiometry (eV/f.u.) = 0.039
# - energy of formation (meV/atom) = 24
# - DFT total energy (eV/cell) = -18.2

- Which value of DFT total energy does entry 1 give?
  -38.5 eV/cell

- What is the formula in the first record?
  ErTh2

- Which value of energy above the lowest structure with this stoichiometry does entry 1 give?
  0.020 eV/f.u.